Entry A
# Ta2TiIr2

A relaxed structure of Ta2TiIr2 (PBE-GGA, Alexandria).

Cell lengths 7.726, 7.726, 2.901 Å; angles 90.00, 90.00, 90.00 degrees
Space group P4/mbm (No. 127)
Symmetry-distinct sites (fractional):
Ta 0.156 0.344 0.000 x4
Ti 0.000 0.000 0.000 x2
Ir 0.141 0.641 0.500 x4

Summary:
As for the volume: 17.3 Å³/atom. Its crystal system is tetragonal.


Entry B
# Ta2TiIr2

A relaxed structure of Ta2TiIr2 (PBE-GGA, Alexandria).

Cell lengths 7.571, 7.571, 3.006 Å; angles 90.00, 90.00, 90.00 degrees
Space group P4/mbm (No. 127)
Symmetry-distinct sites (fractional):
Ta 0.167 0.333 0.000 x4
Ti 0.000 0.000 0.500 x2
Ir 0.132 0.632 0.500 x4

Summary:
As for the volume: 17.2 Å³/atom. Its crystal system is tetragonal.


Most stable to least stable: entry B, entry A


Entry A
# TaTi2Ir2

A relaxed structure of TaTi2Ir2 (PBE-GGA, Alexandria).

Cell lengths 7.423, 7.423, 2.954 Å; angles 90.00, 90.00, 90.00 degrees
Space group P4/mbm (No. 127)
Symmetry-distinct sites (fractional):
Ta 0.000 0.000 0.000 x2
Ti 0.162 0.338 0.500 x4
Ir 0.136 0.636 0.000 x4

Summary:
As for the volume: 16.3 Å³/atom. Its crystal system is tetragonal.


Entry B
# TaTi2Ir2

A relaxed structure of TaTi2Ir2 (PBE-GGA, Alexandria).

Cell lengths 7.481, 7.481, 2.867 Å; angles 90.00, 90.00, 90.00 degrees
Space group P4/mbm (No. 127)
Symmetry-distinct sites (fractional):
Ta 0.000 0.000 0.000 x2
Ti 0.147 0.353 0.000 x4
Ir 0.154 0.654 0.500 x4

Summary:
As for the volume: 16.0 Å³/atom. Its crystal system is tetragonal.


Most stable to least stable: entry A, entry B


Entry A
# TaTi3Ir

A relaxed structure of TaTi3Ir (PBE-GGA, Alexandria).

Cell lengths 4.667, 4.667, 4.667 Å; angles 90.00, 90.00, 90.00 degrees
Space group Pm-3m (No. 221)
Symmetry-distinct sites (fractional):
Ta 0.000 0.000 0.000 x1
Ti 0.000 0.000 0.500 x3
Ir 0.500 0.500 0.500 x1

Summary:
As for the volume: 20.3 Å³/atom. Its crystal system is cubic.


Entry B
# TaTi3Ir

A relaxed structure of TaTi3Ir (PBE-GGA, Alexandria).

Cell lengths 4.689, 4.689, 4.689 Å; angles 90.00, 90.00, 90.00 degrees
Space group Pm-3m (No. 221)
Symmetry-distinct sites (fractional):
Ta 0.000 0.000 0.000 x1
Ti 0.000 0.500 0.500 x3
Ir 0.500 0.500 0.500 x1

Summary:
As for the volume: 20.6 Å³/atom. Its crystal system is cubic.


Most stable to least stable: entry B, entry A


Entry A
# TaTi4Ir

A relaxed structure of TaTi4Ir (PBE-GGA, Alexandria).

Cell lengths 4.3176, 4.3176, 21.4989 Å; angles 90.00, 90.00, 120.00 degrees
Space group R-3m (No. 166, hexagonal axes)
Symmetry-distinct sites (fractional):
Ta 0.0000 0.0000 0.0000 x3
Ti 0.0000 0.0000 0.1261 x6
Ti 0.0000 0.0000 0.3774 x6
Ir 0.0000 0.0000 0.5000 x3

Summary:
As for the volume: 19.3 Å³/atom. Its crystal system is trigonal.


Entry B
# TaTi4Ir

A relaxed structure of TaTi4Ir (PBE-GGA, Alexandria).

Cell lengths 9.603, 4.483, 5.560 Å; angles 90.00, 124.79, 90.00 degrees
Space group C2/m (No. 12)
Symmetry-distinct sites (fractional):
Ta 0.000 0.000 0.000 x2
Ti 0.159 0.500 0.817 x4
Ti 0.181 0.500 0.331 x4
Ir 0.000 0.000 0.500 x2

Summary:
As for the volume: 16.4 Å³/atom. Its crystal system is monoclinic.


Most stable to least stable: entry B, entry A


Entry A
# TaTlIr2

A relaxed structure of TaTlIr2 (PBE-GGA, Alexandria).

Cell lengths 6.507, 6.507, 6.507 Å; angles 90.00, 90.00, 90.00 degrees
Space group F-43m (No. 216)
Symmetry-distinct sites (fractional):
Ta 0.000 0.000 0.000 x4
Tl 0.250 0.250 0.750 x4
Ir 0.000 0.000 0.500 x4
Ir 0.250 0.250 0.250 x4

Summary:
As for the volume: 17.2 Å³/atom. Its crystal system is cubic.


Entry B
# TaTlIr2

A relaxed structure of TaTlIr2 (PBE-GGA, Alexandria).

Cell lengths 3.549, 3.549, 5.759 Å; angles 90.00, 90.00, 90.00 degrees
Space group P4mm (No. 99)
Symmetry-distinct sites (fractional):
Ta 0.000 0.000 0.000 x1
Tl 0.500 0.500 0.338 x1
Ir 0.000 0.000 0.561 x1
Ir 0.500 0.500 0.844 x1

Summary:
As for the volume: 18.1 Å³/atom. Its crystal system is tetragonal.


Most stable to least stable: entry B, entry A


Entry A
# TaTlIr2

A relaxed structure of TaTlIr2 (PBE-GGA, Alexandria).

Cell lengths 6.523, 6.523, 6.523 Å; angles 90.00, 90.00, 90.00 degrees
Space group Fm-3m (No. 225)
Symmetry-distinct sites (fractional):
Ta 0.000 0.000 0.000 x4
Tl 0.000 0.000 0.500 x4
Ir 0.250 0.250 0.250 x8

Summary:
As for the volume: 17.3 Å³/atom. Its crystal system is cubic.


Entry B
# TaTlIr2

A relaxed structure of TaTlIr2 (PBE-GGA, Alexandria).

Cell lengths 2.937, 2.937, 8.055 Å; angles 90.00, 90.00, 90.00 degrees
Space group P4mm (No. 99)
Symmetry-distinct sites (fractional):
Ta 0.000 0.000 0.000 x1
Tl 0.500 0.500 0.293 x1
Ir 0.000 0.000 0.543 x1
Ir 0.500 0.500 0.778 x1

Summary:
As for the volume: 17.4 Å³/atom. Its crystal system is tetragonal.


Entry C
# TaTlIr2

A relaxed structure of TaTlIr2 (PBE-GGA, Alexandria).

Cell lengths 3.142, 3.107, 7.898 Å; angles 90.00, 101.00, 90.00 degrees
Space group P2/m (No. 10)
Symmetry-distinct sites (fractional):
Ta 0.000 0.000 0.000 x1
Tl 0.500 0.000 0.500 x1
Ir 0.414 0.500 0.801 x2

Summary:
As for the volume: 18.9 Å³/atom. Its crystal system is monoclinic.


Entry D
# TaTlIr2

A relaxed structure of TaTlIr2 (PBE-GGA, Alexandria).

Cell lengths 2.9377, 2.9377, 27.9464 Å; angles 90.00, 90.00, 120.00 degrees
Space group R3m (No. 160, hexagonal axes)
Symmetry-distinct sites (fractional):
Ta 0.0000 0.0000 0.0000 x3
Tl 0.0000 0.0000 0.7606 x3
Ir 0.0000 0.0000 0.2563 x3
Ir 0.0000 0.0000 0.5098 x3

Summary:
As for the volume: 17.4 Å³/atom. Its crystal system is trigonal.


Most stable to least stable: entry C, entry A, entry B, entry D


Entry A
# TaTlIr2

A relaxed structure of TaTlIr2 (PBE-GGA, Alexandria).

Cell lengths 2.997, 4.500, 5.307 Å; angles 90.00, 102.99, 90.00 degrees
Space group Pm (No. 6)
Symmetry-distinct sites (fractional):
Ta 0.000 0.000 0.000 x1
Tl 0.739 0.500 0.355 x1
Ir 0.311 0.000 0.520 x1
Ir 0.453 0.500 0.835 x1

Summary:
As for the volume: 17.4 Å³/atom. Its crystal system is monoclinic.


Entry B
# TaTlIr2

A relaxed structure of TaTlIr2 (PBE-GGA, Alexandria).

Cell lengths 4.827, 4.827, 2.982 Å; angles 90.00, 90.00, 90.00 degrees
Space group P4/mmm (No. 123)
Symmetry-distinct sites (fractional):
Ta 0.000 0.000 0.000 x1
Tl 0.500 0.500 0.000 x1
Ir 0.000 0.500 0.500 x2

Summary:
As for the volume: 17.4 Å³/atom. Its crystal system is tetragonal.


Entry C
# TaTlIr2

A relaxed structure of TaTlIr2 (PBE-GGA, Alexandria).

Cell lengths 3.0060, 3.0060, 27.4500 Å; angles 90.00, 90.00, 120.00 degrees
Space group R-3m (No. 166, hexagonal axes)
Symmetry-distinct sites (fractional):
Ta 0.0000 0.0000 0.0000 x3
Tl 0.0000 0.0000 0.5000 x3
Ir 0.0000 0.0000 0.2582 x6

Summary:
As for the volume: 17.9 Å³/atom. Its crystal system is trigonal.


Entry D
# TaTlIr2

A relaxed structure of TaTlIr2 (PBE-GGA, Alexandria).

Cell lengths 4.181, 4.181, 7.737 Å; angles 90.00, 90.00, 90.00 degrees
Space group I4/mmm (No. 139)
Symmetry-distinct sites (fractional):
Ta 0.000 0.000 0.000 x2
Tl 0.000 0.000 0.500 x2
Ir 0.000 0.500 0.250 x4

Summary:
As for the volume: 16.9 Å³/atom. Its crystal system is tetragonal.


Most stable to least stable: entry D, entry C, entry A, entry B


Entry A
# TaTlIr2

A relaxed structure of TaTlIr2 (PBE-GGA, Alexandria).

Cell lengths 9.121, 3.067, 5.182 Å; angles 90.00, 102.31, 90.00 degrees
Space group C2/m (No. 12)
Symmetry-distinct sites (fractional):
Ta 0.000 0.000 0.000 x2
Tl 0.000 0.500 0.500 x2
Ir 0.237 0.500 0.215 x4

Summary:
As for the volume: 17.7 Å³/atom. Its crystal system is monoclinic.


Entry B
# TaTlIr2

A relaxed structure of TaTlIr2 (PBE-GGA, Alexandria).

Cell lengths 6.010, 7.583, 3.002 Å; angles 90.00, 90.00, 90.00 degrees
Space group Cmmm (No. 65)
Symmetry-distinct sites (fractional):
Ta 0.000 0.000 0.000 x2
Tl 0.000 0.500 0.000 x2
Ir 0.250 0.250 0.500 x4

Summary:
As for the volume: 17.1 Å³/atom. Its crystal system is orthorhombic.


Entry C
# TaTlIr2

A relaxed structure of TaTlIr2 (PBE-GGA, Alexandria).

Cell lengths 2.988, 3.727, 6.297 Å; angles 90.00, 90.00, 90.00 degrees
Space group Pmmm (No. 47)
Symmetry-distinct sites (fractional):
Ta 0.000 0.000 0.000 x1
Tl 0.000 0.000 0.500 x1
Ir 0.500 0.500 0.220 x2

Summary:
As for the volume: 17.5 Å³/atom. Its crystal system is orthorhombic.


Entry D
# TaTlIr2

A relaxed structure of TaTlIr2 (PBE-GGA, Alexandria).

Cell lengths 3.947, 3.982, 8.673 Å; angles 90.00, 90.00, 90.00 degrees
Space group Imm2 (No. 44)
Symmetry-distinct sites (fractional):
Ta 0.000 0.000 0.000 x2
Tl 0.000 0.500 0.750 x2
Ir 0.000 0.000 0.501 x2
Ir 0.000 0.500 0.253 x2

Summary:
As for the volume: 17.0 Å³/atom. Its crystal system is orthorhombic.


Most stable to least stable: entry C, entry B, entry D, entry A


Entry A
# TaTlIr3

A relaxed structure of TaTlIr3 (PBE-GGA, Alexandria).

Cell lengths 4.846, 4.846, 4.846 Å; angles 90.00, 90.00, 90.00 degrees
Space group Pm-3m (No. 221)
Symmetry-distinct sites (fractional):
Ta 0.000 0.000 0.000 x1
Tl 0.500 0.500 0.500 x1
Ir 0.000 0.000 0.500 x3

Summary:
As for the volume: 22.8 Å³/atom. Its crystal system is cubic.


Entry B
# TaTlIr3

A relaxed structure of TaTlIr3 (PBE-GGA, Alexandria).

Cell lengths 4.827, 4.827, 4.827 Å; angles 90.00, 90.00, 90.00 degrees
Space group Pm-3m (No. 221)
Symmetry-distinct sites (fractional):
Ta 0.000 0.000 0.000 x1
Tl 0.500 0.500 0.500 x1
Ir 0.000 0.500 0.500 x3

Summary:
As for the volume: 22.5 Å³/atom. Its crystal system is cubic.


Most stable to least stable: entry A, entry B


Entry A
# Ta2V2Ir

A relaxed structure of Ta2V2Ir (PBE-GGA, Alexandria).

Cell lengths 3.874, 3.874, 11.231 Å; angles 90.00, 90.00, 90.00 degrees
Space group I4/mmm (No. 139)
Symmetry-distinct sites (fractional):
Ta 0.000 0.500 0.250 x4
V 0.000 0.000 0.084 x4
Ir 0.000 0.000 0.500 x2

Summary:
As for the volume: 16.9 Å³/atom. Its crystal system is tetragonal.


Entry B
# Ta2V2Ir

A relaxed structure of Ta2V2Ir (PBE-GGA, Alexandria).

Cell lengths 6.332, 6.332, 4.030 Å; angles 90.00, 90.00, 90.00 degrees
Space group P4/mbm (No. 127)
Symmetry-distinct sites (fractional):
Ta 0.175 0.325 0.000 x4
V 0.132 0.632 0.500 x4
Ir 0.000 0.000 0.500 x2

Summary:
As for the volume: 16.2 Å³/atom. Its crystal system is tetragonal.


Most stable to least stable: entry B, entry A


Entry A
# TaZn3Ir

A relaxed structure of TaZn3Ir (PBE-GGA, Alexandria).

Cell lengths 4.631, 4.631, 4.631 Å; angles 90.00, 90.00, 90.00 degrees
Space group Pm-3m (No. 221)
Symmetry-distinct sites (fractional):
Ta 0.000 0.000 0.000 x1
Zn 0.000 0.500 0.500 x3
Ir 0.500 0.500 0.500 x1

Summary:
As for the volume: 19.9 Å³/atom. Its crystal system is cubic.


Entry B
# TaZn3Ir

A relaxed structure of TaZn3Ir (PBE-GGA, Alexandria).

Cell lengths 4.835, 4.835, 4.835 Å; angles 90.00, 90.00, 90.00 degrees
Space group Pm-3m (No. 221)
Symmetry-distinct sites (fractional):
Ta 0.000 0.000 0.000 x1
Zn 0.000 0.000 0.500 x3
Ir 0.500 0.500 0.500 x1

Summary:
As for the volume: 22.6 Å³/atom. Its crystal system is cubic.


Most stable to least stable: entry A, entry B